No. 1
Entry from the Alexandria database: SnGeMo3 after structural relaxation (GGA-PBE).

```
SnGeMo3
1.0
4.9085 0.0000 0.0000
0.0000 4.9085 0.0000
0.0000 0.0000 4.9085
Mo Ge Sn
3 1 1
direct
0.0000 0.5000 0.0000 Mo
0.0000 0.0000 0.5000 Mo
0.5000 0.0000 0.0000 Mo
0.5000 0.5000 0.5000 Ge
0.0000 0.0000 0.0000 Sn
```

Computed properties:
The space-group type is Pm-3m, No. 221. The energy above the most stable polymorph in this dataset comes out at 1124.6 meV per atom.


No. 2
Entry from the Alexandria database: Ho5Tm2Tl4 after structural relaxation (GGA-PBE).

```
Ho5Tm2Tl4
1.0
-2.3268 -0.0530 2.5380
3.6924 -7.0593 3.2378
7.8721 11.7060 5.1252
Ho Tm Tl
5 2 4
direct
0.2011 0.3983 0.4022 Ho
0.7989 0.6017 0.5978 Ho
0.2011 0.0039 0.4022 Ho
0.5000 0.0000 0.0000 Ho
0.7989 0.9961 0.5978 Ho
0.0968 0.0968 0.1935 Tm
0.9032 0.9032 0.8065 Tm
0.6966 0.6966 0.3932 Tl
0.0000 0.3190 0.0000 Tl
0.3034 0.3034 0.6068 Tl
0.0000 0.6810 0.0000 Tl
```

Computed properties:
The space-group type is Immm, No. 71.


No. 3
Entry from the Alexandria database: Sc12Ni6Ir after structural relaxation (GGA-PBE).

```
Sc12Ni6Ir
1.0
7.2770 0.0000 -2.5728
-3.6385 6.3020 -2.5728
0.0000 0.0000 7.7184
Sc Ni Ir
12 6 1
direct
0.2907 0.1087 0.8180 Sc
0.2907 0.4728 0.1820 Sc
0.7093 0.5272 0.8180 Sc
0.7093 0.8913 0.1820 Sc
0.1087 0.8180 0.2907 Sc
0.4728 0.1820 0.2907 Sc
0.5272 0.8180 0.7093 Sc
0.8913 0.1820 0.7093 Sc
0.8180 0.2907 0.1087 Sc
0.1820 0.2907 0.4728 Sc
0.8180 0.7093 0.5272 Sc
0.1820 0.7093 0.8913 Sc
0.3659 0.5000 0.8659 Ni
0.6341 0.5000 0.1341 Ni
0.5000 0.8659 0.3659 Ni
0.5000 0.1341 0.6341 Ni
0.8659 0.3659 0.5000 Ni
0.1341 0.6341 0.5000 Ni
0.0000 0.0000 0.0000 Ir
```

Computed properties:
The space-group type is Im-3, No. 204.


No. 4
Entry from the Alexandria database: Th2Be3CoGe4 after structural relaxation (GGA-PBE).

```
Th2Be3CoGe4
1.0
-2.5408 3.0780 -1.2218
-1.5880 -2.4838 -2.9549
-6.5630 -3.0125 6.0592
Th Be Co Ge
2 3 1 4
direct
0.5000 0.0000 0.2587 Th
0.0000 0.5000 0.7413 Th
0.0000 0.0000 0.5000 Be
0.5000 0.0000 0.8732 Be
0.0000 0.5000 0.1268 Be
0.5000 0.5000 0.5000 Co
0.5000 0.5000 0.0000 Ge
0.0000 0.0000 0.0000 Ge
0.5000 0.0000 0.6266 Ge
0.0000 0.5000 0.3734 Ge
```

Computed properties:
The space-group type is P-4m2, No. 115.


No. 5
Entry from the Alexandria database: La6AsIr3 after structural relaxation (GGA-PBE).

```
La6AsIr3
1.0
4.2594 0.0000 0.0000
0.0000 11.5403 -3.3297
0.0000 -0.4368 12.1739
La As Ir
12 2 6
direct
0.7500 0.4630 0.6060 La
0.2500 0.5370 0.3940 La
0.7500 0.9219 0.0948 La
0.2500 0.0781 0.9052 La
0.7500 0.3951 0.0587 La
0.2500 0.6049 0.9413 La
0.7500 0.7249 0.2640 La
0.2500 0.2751 0.7360 La
0.7500 0.1258 0.4587 La
0.2500 0.8742 0.5413 La
0.7500 0.7897 0.7614 La
0.2500 0.2103 0.2386 La
0.7500 0.0517 0.6886 As
0.2500 0.9483 0.3114 As
0.7500 0.4445 0.8339 Ir
0.2500 0.5555 0.1661 Ir
0.7500 0.6913 0.4981 Ir
0.2500 0.3087 0.5019 Ir
0.7500 0.1550 0.0808 Ir
0.2500 0.8450 0.9192 Ir
```

Computed properties:
The space-group type is P2_1/m, No. 11.


Calculated values (μB per cell) of total magnetic moment for the records, taken in order: 0.0; 0.0; 0.0; 0.0; 0.0.
Calculated values (eV per atom) of formation energy from the elements for the records, taken in order: 2.242; 0.344; -0.401; -0.417; -0.825.
Calculated values (states/eV per cell) of density of states at the Fermi level for the records, taken in order: 9.2; 13.9; 32.3; 4.4; 12.0.